# Ac2Sm4Er, optimized geometry, DFT PBE-GGA
# - Calculated total energy: -0.1589 Ha/atom
# - DOS(E_F): 12.14 states/eV/f.u.
# - Total moment: 0.00 μB/atom
data_Ac2Sm4Er
_space_group_name_H-M_alt 'C c c e'
_space_group_IT_number 68
_cell_length_a 13.006
_cell_length_b 25.410
_cell_length_c 6.324
_cell_angle_alpha 90.00
_cell_angle_beta 90.00
_cell_angle_gamma 90.00
loop_
_space_group_symop_operation_xyz
'x,y,z'
'-x,-y,-z'
'-x+1/2,-y,z'
'x+1/2,y,-z'
'x+1/2,-y,-z+1/2'
'-x+1/2,y,z+1/2'
'-x,y,-z+1/2'
'x,-y,z+1/2'
'x+1/2,y+1/2,z'
'-x+1/2,-y+1/2,-z'
'-x,-y+1/2,z'
'x,y+1/2,-z'
'x,-y+1/2,-z+1/2'
'-x,y+1/2,z+1/2'
'-x+1/2,y+1/2,-z+1/2'
'x+1/2,-y+1/2,z+1/2'
loop_
_atom_site_label
_atom_site_fract_x
_atom_site_fract_y
_atom_site_fract_z
_atom_site_occupancy
Ac1 0.000 0.043 0.250 1
Ac2 0.139 0.250 0.750 1
Sm1 0.131 0.175 0.249 1
Sm2 0.136 0.106 0.749 1
Er1 0.250 0.000 0.499 1